Here is Sr5Sn4 after structural relaxation from Alexandria. Energies are from GGA-PBE.

```
Sr5Sn4
1.0
6.0316 -2.5808 0.0000
6.0316 2.5808 0.0000
-4.2121 0.0000 10.4836
Sr Sn
5 4
direct
0.0000 0.0000 0.0000
0.0960 0.0960 0.3922
0.2443 0.2443 0.8263
0.7557 0.7557 0.1737
0.9040 0.9040 0.6078
0.3814 0.3814 0.3898
0.4503 0.4503 0.1630
0.5497 0.5497 0.8370
0.6186 0.6186 0.6102
```

* ΔE_f: -0.64 eV per atom